{"formula": "La2SiOs", "functional": "GGA-PBE", "state": "optimized geometry", "mass_density_g_cm3": 7.39, "raw_formation_energy_mev_per_atom": 97, "crystal_system": "trigonal", "final_energy_ev_per_cell": -26.1, "cell": [[7.7837, -0.0483, -0.0293], [6.6924, 3.9750, -0.0293], [6.6924, 1.8153, 3.5364]], "species": ["Os", "La", "La", "Si"], "fractional_positions": [[0.2500, 0.2500, 0.2500], [0.9892, 0.9892, 0.9892], [0.5108, 0.5108, 0.5108], [0.7500, 0.7500, 0.7500]]}